Entry from Alexandria: a relaxed structure of SmGdLuGa (PBE).

Cell and atoms, written as extended XYZ:
```
4
Lattice="5.334 0.000 0.000 2.667 4.620 0.000 2.667 1.540 4.355" Properties=species:S:1:pos:R:3 pbc="T T T"
Gd 8.001 4.620 3.267
Lu 0.000 0.000 0.000
Ga 5.334 3.080 2.178
Sm 2.667 1.540 1.089
```

Its total energy is -0.49351 Ry/atom. The formation energy is -128 meV per atom.


Entry from Alexandria: a relaxed structure of GdLuGaSn (PBE).

Cell and atoms, written as extended XYZ:
```
4
Lattice="5.196 0.000 0.000 2.598 4.500 0.000 2.598 1.500 4.242" Properties=species:S:1:pos:R:3 pbc="T T T"
Gd 5.196 3.000 2.121
Lu 0.000 0.000 0.000
Sn 2.598 1.500 1.061
Ga 7.794 4.500 3.182
```

Its total energy is -0.50999 Ry/atom. The formation energy is -531 meV per atom.


Entry from Alexandria: a relaxed structure of GdLuTlGa (PBE).

Cell and atoms, written as extended XYZ:
```
4
Lattice="5.208 0.000 0.000 2.604 4.510 0.000 2.604 1.503 4.252" Properties=species:S:1:pos:R:3 pbc="T T T"
Tl 7.812 4.510 3.189
Gd 5.208 3.007 2.126
Lu 0.000 0.000 0.000
Ga 2.604 1.503 1.063
```

Its total energy is -0.47077 Ry/atom. The formation energy is -406 meV per atom.


Entry from Alexandria: a relaxed structure of GdLuZnGa (PBE).

Cell and atoms, written as extended XYZ:
```
4
Lattice="5.026 0.000 0.000 2.513 4.353 0.000 2.513 1.451 4.104" Properties=species:S:1:pos:R:3 pbc="T T T"
Zn 7.539 4.353 3.078
Gd 0.000 0.000 0.000
Lu 5.026 2.902 2.052
Ga 2.513 1.451 1.026
```

Its total energy is -0.45550 Ry/atom. The formation energy is -472 meV per atom.